(1)
A relaxed La5Nd6Sm crystal, computed with PBE-GGA.

Summary:
- SG: No. 12
- Calculated total energy: -57.81 eV for the cell shown
- Formation energy from the elements: 0.013 eV per atom

Unit cell a=12.246 b=6.419 c=6.425 alpha=60.03 beta=84.93 gamma=79.82
Fractional positions:
La  0.500  0.166  0.667
La  0.000  0.333  0.334
La  0.500  0.500  0.000
La  0.000  0.667  0.666
La  0.500  0.834  0.333
Nd  0.751  0.083  0.333
Nd  0.249  0.585  0.333
Nd  0.249  0.250  0.000
Nd  0.751  0.750  0.000
Nd  0.751  0.415  0.667
Nd  0.249  0.917  0.667
Sm  0.000  0.000  0.000



(2)
A relaxed ScNi2Pt crystal, computed with PBE-GGA.

Summary:
- SG: No. 122
- Calculated total energy: -49.98 eV for the cell shown
- Formation energy from the elements: -0.263 eV per atom

Unit cell a=3.753 b=3.753 c=9.270 alpha=78.32 beta=78.32 gamma=90.00
Fractional positions:
Sc  0.500  0.500  0.000
Sc  0.250  0.750  0.500
Ni  0.651  0.125  0.250
Ni  0.099  0.625  0.250
Ni  0.375  0.349  0.750
Ni  0.875  0.901  0.750
Pt  0.000  0.000  0.000
Pt  0.750  0.250  0.500



(3)
A relaxed LaTcRh crystal, computed with PBE-GGA.

Summary:
- SG: No. 216
- Calculated total energy: -20.15 eV for the cell shown
- Formation energy from the elements: 0.830 eV per atom

Unit cell a=4.548 b=4.548 c=4.548 alpha=60.00 beta=60.00 gamma=60.00
Each line ends with the local moment (μB).
Fractional positions:
La  0.750  0.750  0.750  0.02
Rh  0.000  0.000  0.000  0.29
Tc  0.500  0.500  0.500  1.75



(4)
A relaxed PrGdNiRu crystal, computed with PBE-GGA.

Summary:
- SG: No. 216
- Calculated total energy: -34.78 eV for the cell shown
- Formation energy from the elements: -0.215 eV per atom

Unit cell a=4.925 b=4.925 c=4.925 alpha=60.00 beta=60.00 gamma=60.00
Each line ends with the local moment (μB).
Fractional positions:
Pr  0.500  0.500  0.500  0.01
Ru  0.750  0.750  0.750  -0.10
Gd  0.000  0.000  0.000  7.02
Ni  0.250  0.250  0.250  -0.02



(5)
A relaxed CsHf2Ag crystal, computed with PBE-GGA.

Summary:
- SG: No. 225
- Calculated total energy: -19.02 eV for the cell shown
- Formation energy from the elements: 1.147 eV per atom

Unit cell a=5.079 b=5.079 c=5.079 alpha=60.00 beta=60.00 gamma=60.00
Fractional positions:
Cs  0.500  0.500  0.500
Hf  0.250  0.250  0.250
Hf  0.750  0.750  0.750
Ag  0.000  0.000  0.000



(6)
A relaxed Zn2CoReNi crystal, computed with PBE-GGA.

Summary:
- SG: No. 123
- Calculated total energy: -22.61 eV for the cell shown
- Formation energy from the elements: 1.054 eV per atom

Unit cell a=4.373 b=4.385 c=4.373 alpha=90.00 beta=90.00 gamma=90.00
Each line ends with the local moment (μB).
Fractional positions:
Re  0.000  0.500  0.000  0.87
Zn  0.000  0.000  0.500  -0.01
Zn  0.500  0.000  0.000  -0.01
Co  0.000  0.000  0.000  0.09
Ni  0.500  0.500  0.500  0.34



(7)
A relaxed SmZrRu4 crystal, computed with PBE-GGA.

Summary:
- SG: No. 216
- Calculated total energy: -51.78 eV for the cell shown
- Formation energy from the elements: -0.234 eV per atom

Unit cell a=5.303 b=5.303 c=5.303 alpha=60.00 beta=60.00 gamma=60.00
Fractional positions:
Ru  0.625  0.625  0.126
Ru  0.625  0.126  0.625
Ru  0.625  0.625  0.625
Ru  0.126  0.625  0.625
Zr  0.250  0.250  0.250
Sm  0.000  0.000  0.000



(8)
A relaxed YPtRh crystal, computed with PBE-GGA.

Summary:
- SG: No. 107
- Calculated total energy: -21.60 eV for the cell shown
- Formation energy from the elements: -0.582 eV per atom

Unit cell a=5.198 b=5.198 c=3.524 alpha=70.18 beta=70.18 gamma=39.64
Fractional positions:
Pt  0.997  0.997  0.003
Rh  0.336  0.336  0.664
Y  0.667  0.667  0.333